An optimized crystal structure of Ba2SnMoO6, computed with PBE+U.

abc: 5.923 5.923 5.923
angles: 120.58 120.58 89.01
Fractional coordinates of all 10 atoms:
Ba (0.250, 0.750, 0.500)
Ba (0.750, 0.250, 0.500)
Sn (0.000, 0.000, 0.000)
Mo (0.500, 0.500, 0.000)
O (0.245, 0.245, 0.000)
O (0.253, 0.253, 0.506)
O (0.253, 0.747, 0.000)
O (0.747, 0.253, 0.000)
O (0.747, 0.747, 0.494)
O (0.755, 0.755, 0.000)

VASP energy: -66.72 eV for the cell shown